(1)
The following is a PBE calculation of a geometry-optimized LaTbSc4 structure, from Alexandria.

```
data_LaTbSc4
_chemical_formula_sum 'La2 Tb2 Sc8'
_space_group_name_H-M_alt 'P 1'
_space_group_IT_number 1
_cell_length_a 8.505
_cell_length_b 5.385
_cell_length_c 9.895
_cell_angle_alpha 90.00
_cell_angle_beta 104.92
_cell_angle_gamma 129.27
loop_
_space_group_symop_operation_xyz
'x,y,z'
loop_
_atom_site_label
_atom_site_type_symbol
_atom_site_fract_x
_atom_site_fract_y
_atom_site_fract_z
_atom_site_occupancy
La1 La 0.377 0.627 0.253 1
La2 La 0.623 0.373 0.747 1
Tb1 Tb 0.127 0.877 0.753 1
Tb2 Tb 0.873 0.123 0.247 1
Sc1 Sc 0.960 0.210 0.917 1
Sc2 Sc 0.457 0.707 0.917 1
Sc3 Sc 0.288 0.538 0.583 1
Sc4 Sc 0.712 0.462 0.417 1
Sc5 Sc 0.204 0.955 0.417 1
Sc6 Sc 0.543 0.293 0.083 1
Sc7 Sc 0.796 0.045 0.583 1
Sc8 Sc 0.040 0.790 0.083 1
```

Summary:
Its crystal system is orthorhombic. For the offset from the most stable computed form, the calculation gives 0.00 eV per formula unit. As for the space-group type: Cmcm.


(2)
The following is a PBE calculation of a geometry-optimized LaTb3Sc6 structure, from Alexandria.

```
data_LaTb3Sc6
_chemical_formula_sum 'La1 Tb3 Sc6'
_space_group_name_H-M_alt 'P 1'
_space_group_IT_number 1
_cell_length_a 9.326
_cell_length_b 9.326
_cell_length_c 6.563
_cell_angle_alpha 44.72
_cell_angle_beta 44.72
_cell_angle_gamma 60.00
loop_
_space_group_symop_operation_xyz
'x,y,z'
loop_
_atom_site_label
_atom_site_type_symbol
_atom_site_fract_x
_atom_site_fract_y
_atom_site_fract_z
_atom_site_occupancy
La1 La 0.900 0.900 0.300 1
Tb1 Tb 0.400 0.400 0.800 1
Tb2 Tb 0.650 0.650 0.051 1
Tb3 Tb 0.151 0.151 0.548 1
Sc1 Sc 0.900 0.567 0.300 1
Sc2 Sc 0.233 0.900 0.300 1
Sc3 Sc 0.567 0.233 0.300 1
Sc4 Sc 0.074 0.400 0.800 1
Sc5 Sc 0.726 0.074 0.800 1
Sc6 Sc 0.400 0.726 0.800 1
```

Summary:
Its crystal system is trigonal. For the offset from the most stable computed form, the calculation gives 1.93 eV per formula unit. As for the space-group type: R32.